Entry 1:
Below is an optimized crystal structure of Ta2MnCo, with properties calculated at the PBE level.

Output
total magnetization	0.387	μB per atom
formation energy from the elements	-0.17	eV per atom

Cell: 4.3422 4.3422 3.0656 Å, 90.00 90.00 90.00°
Space group P4/mmm (No. 123)
Asymmetric unit:
1 Ta 0.0000 0.5000 0.0000 [2 per cell]
2 Mn 0.0000 0.0000 0.5000 [1 per cell]
3 Co 0.5000 0.5000 0.5000 [1 per cell]


Entry 2:
Below is an optimized crystal structure of TaMnCo4, with properties calculated at the PBE level.

Output
total magnetization	1.292	μB per atom
formation energy from the elements	-0.14	eV per atom

Cell: 6.6581 6.6581 6.6581 Å, 90.00 90.00 90.00°
Space group F-43m (No. 216)
Asymmetric unit:
1 Ta 0.0000 0.0000 0.0000 [4 per cell]
2 Mn 0.2500 0.2500 0.7500 [4 per cell]
3 Co 0.1243 0.1243 0.3757 [16 per cell]


Entry 3:
Below is an optimized crystal structure of TaMn2Co, with properties calculated at the PBE level.

Output
total magnetization	1.465	μB per atom
formation energy from the elements	-0.01	eV per atom

Cell: 3.0902 4.0642 8.5506 Å, 90.00 90.00 90.00°
Space group Imm2 (No. 44)
Asymmetric unit:
1 Ta 0.0000 0.0000 0.0000 [2 per cell]
2 Mn 0.0000 0.0000 0.5180 [2 per cell]
3 Mn 0.0000 0.5000 0.7603 [2 per cell]
4 Co 0.0000 0.5000 0.2533 [2 per cell]


Entry 4:
Below is an optimized crystal structure of TaMn2Co, with properties calculated at the PBE level.

Output
total magnetization	0.970	μB per atom
formation energy from the elements	-0.04	eV per atom

Cell: 5.9304 5.9304 5.9304 Å, 90.00 90.00 90.00°
Space group F-43m (No. 216)
Asymmetric unit:
1 Ta 0.0000 0.0000 0.0000 [4 per cell]
2 Mn 0.0000 0.0000 0.5000 [4 per cell]
3 Mn 0.2500 0.2500 0.2500 [4 per cell]
4 Co 0.2500 0.2500 0.7500 [4 per cell]


Entry 5:
Below is an optimized crystal structure of TaTiMnCo, with properties calculated at the PBE level.

Output
total magnetization	0.004	μB per atom
formation energy from the elements	-0.29	eV per atom

Cell: 3.0379 3.0379 5.9521 Å, 90.00 90.00 90.00°
Space group P4mm (No. 99)
Asymmetric unit:
1 Ta 0.0000 0.0000 0.0000 [1 per cell]
2 Ti 0.0000 0.0000 0.4948 [1 per cell]
3 Mn 0.5000 0.5000 0.2510 [1 per cell]
4 Co 0.5000 0.5000 0.7434 [1 per cell]


Entry 6:
Below is an optimized crystal structure of Tb3MnCo8, with properties calculated at the PBE level.

Output
total magnetization	1.094	μB per atom
formation energy from the elements	-0.13	eV per atom

Cell: 4.9964 4.9964 24.5583 Å, 90.00 90.00 120.00°
Space group R3m (No. 160, hexagonal axes)
Asymmetric unit:
1 Tb 0.0000 0.0000 0.0000 [3 per cell]
2 Tb 0.0000 0.0000 0.1280 [3 per cell]
3 Tb 0.0000 0.0000 0.5095 [3 per cell]
4 Mn 0.0000 0.0000 0.6306 [3 per cell]
5 Co 0.0000 0.0000 0.3155 [3 per cell]
6 Co 0.0000 0.0000 0.8163 [3 per cell]
7 Co 0.0012 0.5006 0.5685 [9 per cell]
8 Co 0.1691 0.3382 0.3972 [9 per cell]